! La2TlCoO6 PBE with a Hubbard U relaxed; values from VASP
&SYSTEM
  ibrav = 0, nat = 20, ntyp = 4
/
ATOMIC_SPECIES
La 138.91 La.upf
Tl 204.38 Tl.upf
Co 58.93 Co.upf
O 16.00 O.upf
ATOMIC_POSITIONS crystal
La 0.017 0.942 0.250
La 0.517 0.558 0.750
La 0.983 0.058 0.750
La 0.483 0.442 0.250
Tl 0.500 0.000 0.500
Tl 0.000 0.500 0.000
Co 0.500 0.000 0.000
Co 0.000 0.500 0.500
O 0.323 0.721 0.062
O 0.823 0.779 0.562
O 0.677 0.279 0.938
O 0.177 0.221 0.438
O 0.283 0.682 0.448
O 0.783 0.818 0.948
O 0.717 0.318 0.552
O 0.217 0.182 0.052
O 0.893 0.540 0.271
O 0.393 0.960 0.771
O 0.107 0.460 0.729
O 0.607 0.040 0.229
CELL_PARAMETERS angstrom
5.647 0.000 0.020
0.000 5.886 0.000
0.080 0.000 8.085
! Energy in eV per cell: -135.8